An optimized crystal structure of NaCeS2, computed with PBE.

a b c (Å): 7.241 7.241 7.241
angles (deg): 133.62 133.62 67.69
Atoms (fractional coordinates):
Na1 0.375 0.625 0.750
Na2 0.625 0.375 0.250
Ce1 0.125 0.875 0.250
Ce2 0.875 0.125 0.750
S1 0.110 0.360 0.750
S2 0.360 0.110 0.250
S3 0.640 0.890 0.750
S4 0.890 0.640 0.250

Values from the calculation:
The density of states at the Fermi level is 6.32 states/eV/f.u.

---

An optimized crystal structure of NaCe6S12, computed with PBE.

a b c (Å): 8.016 8.016 8.016
angles (deg): 100.71 100.71 100.71
Atoms (fractional coordinates):
Na1 0.000 0.000 0.000
Ce1 0.133 0.612 0.294
Ce2 0.294 0.133 0.612
Ce3 0.388 0.706 0.867
Ce4 0.612 0.294 0.133
Ce5 0.706 0.867 0.388
Ce6 0.867 0.388 0.706
S1 0.057 0.927 0.327
S2 0.073 0.673 0.943
S3 0.177 0.434 0.578
S4 0.327 0.057 0.927
S5 0.422 0.823 0.566
S6 0.434 0.578 0.177
S7 0.566 0.422 0.823
S8 0.578 0.177 0.434
S9 0.673 0.943 0.073
S10 0.823 0.566 0.422
S11 0.927 0.327 0.057
S12 0.943 0.073 0.673

Values from the calculation:
The density of states at the Fermi level is 18.00 states/eV/f.u.

---

An optimized crystal structure of Na3Ce3SbS8, computed with PBE.

a b c (Å): 8.145 8.145 8.145
angles (deg): 60.58 60.58 60.58
Atoms (fractional coordinates):
Na1 0.000 0.500 0.500
Na2 0.500 0.000 0.500
Na3 0.500 0.500 0.000
Ce1 0.000 0.000 0.500
Ce2 0.000 0.500 0.000
Ce3 0.500 0.000 0.000
Sb1 0.500 0.500 0.500
S1 0.244 0.244 0.244
S2 0.246 0.738 0.738
S3 0.262 0.262 0.754
S4 0.262 0.754 0.262
S5 0.738 0.246 0.738
S6 0.738 0.738 0.246
S7 0.754 0.262 0.262
S8 0.756 0.756 0.756

Values from the calculation:
The density of states at the Fermi level is 13.93 states/eV/f.u.

---

An optimized crystal structure of Na2CeSb2S6, computed with PBE.

a b c (Å): 6.973 6.973 7.166
angles (deg): 99.83 99.83 119.97
Atoms (fractional coordinates):
Na1 0.168 0.832 0.000
Na2 0.832 0.168 0.000
Ce1 0.000 0.000 0.500
Sb1 0.331 0.669 0.500
Sb2 0.669 0.331 0.500
S1 0.069 0.410 0.720
S2 0.244 0.244 0.278
S3 0.410 0.069 0.720
S4 0.590 0.931 0.280
S5 0.756 0.756 0.722
S6 0.931 0.590 0.280

---

An optimized crystal structure of Na4CeSc3S8, computed with PBE.

a b c (Å): 7.730 7.730 8.001
angles (deg): 118.90 118.90 60.00
Atoms (fractional coordinates):
Na1 0.000 0.000 0.000
Na2 0.000 0.500 0.000
Na3 0.500 0.000 0.000
Na4 0.500 0.500 0.000
Ce1 0.000 0.000 0.500
Sc1 0.000 0.500 0.500
Sc2 0.500 0.000 0.500
Sc3 0.500 0.500 0.500
S1 0.249 0.249 0.721
S2 0.249 0.724 0.722
S3 0.262 0.262 0.285
S4 0.276 0.751 0.278
S5 0.724 0.249 0.722
S6 0.738 0.738 0.715
S7 0.751 0.276 0.278
S8 0.751 0.751 0.279

Values from the calculation:
The density of states at the Fermi level is 7.55 states/eV/f.u.

---

An optimized crystal structure of Na3Ce3ScS8, computed with PBE.

a b c (Å): 8.142 8.142 8.142
angles (deg): 59.58 59.58 59.58
Atoms (fractional coordinates):
Na1 0.000 0.500 0.500
Na2 0.500 0.000 0.500
Na3 0.500 0.500 0.000
Ce1 0.000 0.000 0.500
Ce2 0.000 0.500 0.000
Ce3 0.500 0.000 0.000
Sc1 0.500 0.500 0.500
S1 0.245 0.245 0.245
S2 0.257 0.730 0.730
S3 0.270 0.270 0.743
S4 0.270 0.743 0.270
S5 0.730 0.257 0.730
S6 0.730 0.730 0.257
S7 0.743 0.270 0.270
S8 0.755 0.755 0.755

Values from the calculation:
The density of states at the Fermi level is 13.73 states/eV/f.u.

---

In order of appearance, formation energy from raw total energies = -1.726; -1.744; -1.477; -0.959; -1.723; -1.751 eV/atom.